1.
Density functional theory data (SCAN) for Al2CuSi at its PBEsol-relaxed geometry.

Unit cell a=9.247 b=2.718 c=4.673 alpha=90.00 beta=104.41 gamma=90.00
Space group Cm (No. 8)
Unique sites:
Al (0.000, 0.000, 0.000) [2 per cell]
Al (0.227, 0.000, 0.684) [2 per cell]
Cu (0.249, 0.500, 0.181) [2 per cell]
Si (0.466, 0.000, 0.479) [2 per cell]

- Formation energy from raw total energies: 5.3 kJ/mol of atoms
- Crystal system: monoclinic

=====

2.
Density functional theory data (SCAN) for NiHCSe2 at its PBEsol-relaxed geometry.

Unit cell a=4.447 b=4.447 c=2.782 alpha=90.00 beta=90.00 gamma=90.00
Space group P4/mmm (No. 123)
Unique sites:
Ni (0.000, 0.000, 0.000) [1 per cell]
H (0.500, 0.500, 0.000) [1 per cell]
C (0.500, 0.500, 0.500) [1 per cell]
Se (0.000, 0.500, 0.500) [2 per cell]

- Crystal system: tetragonal
- Uncorrected energy: -13.151 eV per atom

=====

3.
Density functional theory data (SCAN) for Cs2CoBr4 at its PBEsol-relaxed geometry.

Unit cell a=10.133 b=7.557 c=13.178 alpha=90.00 beta=90.00 gamma=90.00
Space group Pnma (No. 62)
Unique sites:
Cs (0.023, 0.250, 0.165) [4 per cell]
Cs (0.137, 0.750, 0.398) [4 per cell]
Co (0.239, 0.750, 0.078) [4 per cell]
Br (0.009, 0.750, 0.107) [4 per cell]
Br (0.171, 0.505, 0.653) [8 per cell]
Br (0.187, 0.250, 0.409) [4 per cell]

- Formation energy from raw total energies: -141.7 kJ/mol of atoms
- Crystal system: orthorhombic

=====

4.
Density functional theory data (SCAN) for TaBe2 at its PBEsol-relaxed geometry.

Unit cell a=4.5887 b=4.5887 c=14.8736 alpha=90.00 beta=90.00 gamma=120.00
Space group P6_3/mmc (No. 194)
Unique sites:
Ta (0.0000, 0.0000, 0.0921) [4 per cell]
Ta (0.3333, 0.6667, 0.1563) [4 per cell]
Be (0.0000, 0.5000, 0.0000) [6 per cell]
Be (0.1611, 0.3222, 0.7500) [6 per cell]
Be (0.3333, 0.6667, 0.6272) [4 per cell]

- Formation energy from the elements: -190 meV per atom
- Crystal system: hexagonal

=====

5.
Density functional theory data (SCAN) for SrIn2Fe at its PBEsol-relaxed geometry.

Unit cell a=6.151 b=9.664 c=3.141 alpha=90.00 beta=90.00 gamma=90.00
Space group Cmmm (No. 65)
Unique sites:
Sr (0.000, 0.000, 0.000) [2 per cell]
In (0.250, 0.250, 0.500) [4 per cell]
Fe (0.000, 0.500, 0.000) [2 per cell]

- Formation energy from the elements: 235 meV per atom
- Crystal system: orthorhombic

=====

6.
Density functional theory data (SCAN) for KNiPt2 at its PBEsol-relaxed geometry.

Unit cell a=2.673 b=4.891 c=10.119 alpha=90.00 beta=90.00 gamma=90.00
Space group Immm (No. 71)
Unique sites:
K (0.000, 0.000, 0.000) [2 per cell]
Ni (0.000, 0.000, 0.500) [2 per cell]
Pt (0.000, 0.500, 0.214) [4 per cell]

- Excess energy over the best structure of this formula in the dataset: 0.0185 eV/atom
- Formation energy from the elements: 243 meV per atom
- Crystal system: orthorhombic

=====

7.
Density functional theory data (SCAN) for MgSiTe3 at its PBEsol-relaxed geometry.

Unit cell a=5.307 b=5.307 c=5.307 alpha=90.00 beta=90.00 gamma=90.00
Space group Pm-3m (No. 221)
Unique sites:
Mg (0.000, 0.000, 0.000) [1 per cell]
Si (0.500, 0.500, 0.500) [1 per cell]
Te (0.000, 0.000, 0.500) [3 per cell]

- Formation energy from raw total energies: 62.8 kJ/mol of atoms
- Crystal system: cubic

=====

8.
Density functional theory data (SCAN) for HfSiSnMo2 at its PBEsol-relaxed geometry.

Unit cell a=4.912 b=4.912 c=4.666 alpha=90.00 beta=90.00 gamma=90.00
Space group P4/mmm (No. 123)
Unique sites:
Hf (0.000, 0.000, 0.000) [1 per cell]
Si (0.500, 0.500, 0.000) [1 per cell]
Sn (0.500, 0.500, 0.500) [1 per cell]
Mo (0.000, 0.500, 0.500) [2 per cell]

- Formation energy from raw total energies: 182.6 kJ/mol of atoms
- Crystal system: tetragonal

=====

9.
Density functional theory data (SCAN) for ZrTeRh2 at its PBEsol-relaxed geometry.

Unit cell a=6.511 b=6.511 c=6.511 alpha=90.00 beta=90.00 gamma=90.00
Space group Fm-3m (No. 225)
Unique sites:
Zr (0.000, 0.000, 0.000) [4 per cell]
Te (0.000, 0.000, 0.500) [4 per cell]
Rh (0.250, 0.250, 0.250) [8 per cell]

- Excess energy over the best structure of this formula in the dataset: 0.0488 eV/atom
- Formation energy from raw total energies: -53.4 kJ/mol of atoms
- Crystal system: cubic

=====

10.
Density functional theory data (SCAN) for Ba2CaTe2 at its PBEsol-relaxed geometry.

Unit cell a=8.850 b=8.850 c=4.745 alpha=90.00 beta=90.00 gamma=90.00
Space group P4/mbm (No. 127)
Unique sites:
Ba (0.151, 0.349, 0.000) [4 per cell]
Ca (0.000, 0.000, 0.500) [2 per cell]
Te (0.156, 0.656, 0.500) [4 per cell]

- Excess energy over the best structure of this formula in the dataset: 0.0000 eV/atom
- Formation energy from raw total energies: -145.5 kJ/mol of atoms
- Crystal system: tetragonal

=====

11.
Density functional theory data (SCAN) for TlPbS2N at its PBEsol-relaxed geometry.

Unit cell a=5.185 b=5.185 c=4.213 alpha=90.00 beta=90.00 gamma=90.00
Space group P4/mmm (No. 123)
Unique sites:
Tl (0.000, 0.000, 0.000) [1 per cell]
Pb (0.500, 0.500, 0.500) [1 per cell]
S (0.000, 0.500, 0.000) [2 per cell]
N (0.000, 0.000, 0.500) [1 per cell]

- Formation energy from raw total energies: 73.4 kJ/mol of atoms
- Crystal system: tetragonal

=====

12.
Density functional theory data (SCAN) for NdPb7F17 at its PBEsol-relaxed geometry.

Unit cell a=4.112 b=4.113 c=27.550 alpha=85.73 beta=85.72 gamma=60.03
Space group P1 (No. 1)
Unique sites:
Nd (0.000, 0.000, 0.000) [1 per cell]
Pb (0.124, 0.121, 0.631) [1 per cell]
Pb (0.249, 0.244, 0.255) [1 per cell]
Pb (0.373, 0.374, 0.882) [1 per cell]
Pb (0.500, 0.494, 0.506) [1 per cell]
Pb (0.624, 0.622, 0.128) [1 per cell]
Pb (0.748, 0.749, 0.757) [1 per cell]
Pb (0.875, 0.868, 0.380) [1 per cell]
F (0.029, 0.031, 0.913) [1 per cell]
F (0.092, 0.092, 0.725) [1 per cell]
F (0.156, 0.150, 0.538) [1 per cell]
F (0.219, 0.213, 0.347) [1 per cell]
F (0.281, 0.279, 0.158) [1 per cell]
F (0.334, 0.334, 0.998) [1 per cell]
F (0.404, 0.404, 0.791) [1 per cell]
F (0.469, 0.465, 0.599) [1 per cell]
F (0.531, 0.525, 0.412) [1 per cell]
F (0.593, 0.588, 0.224) [1 per cell]
F (0.653, 0.652, 0.042) [1 per cell]
F (0.682, 0.684, 0.956) [1 per cell]
F (0.718, 0.719, 0.848) [1 per cell]
F (0.781, 0.778, 0.662) [1 per cell]
F (0.844, 0.838, 0.474) [1 per cell]
F (0.905, 0.900, 0.287) [1 per cell]
F (0.970, 0.970, 0.089) [1 per cell]

- Formation energy from raw total energies: -263.6 kJ/mol of atoms
- Crystal system: triclinic

=====

Calculated density: 4.251, 6.931, 4.241, 9.745, 6.638, 12.247, 4.834, 7.628, 10.216, 5.093, 7.180, 7.920 (g cm⁻³)